[1]
First-principles (GGA-PBE) data for Nd3TaTl3S8 after structural relaxation, as listed in Alexandria via LeMat-Bulk.

## Properties
- Density of states at the Fermi level: 3.990 states/eV/cell
- Crystal system: trigonal
- ΔE_f (raw): -1307 meV per atom

Unit cell a=8.014 b=8.014 c=8.949 alpha=116.61 beta=90.00 gamma=120.00
Element x y z (fractional)
Nd (0.000, 0.500, 0.500)
Nd (0.500, 0.500, 0.500)
Nd (0.500, 0.000, 0.500)
S (0.737, 0.474, 0.710)
S (0.211, 0.980, 0.691)
S (0.789, 0.020, 0.309)
S (0.263, 0.526, 0.290)
S (0.231, 0.020, 0.309)
S (0.769, 0.980, 0.691)
S (0.211, 0.423, 0.691)
S (0.789, 0.577, 0.309)
Tl (0.500, 0.500, 0.000)
Tl (0.000, 0.500, 0.000)
Tl (0.000, 0.000, 0.000)
Ta (0.000, 0.000, 0.500)



[2]
First-principles (GGA-PBE) data for Tb3NdS after structural relaxation, as listed in Alexandria via LeMat-Bulk.

## Properties
- Density of states at the Fermi level: 8.296 states/eV/cell
- Crystal system: cubic
- ΔE_f (raw): -668 meV per atom

Unit cell a=5.354 b=5.354 c=5.354 alpha=90.00 beta=90.00 gamma=90.00
Element x y z (fractional)
S (0.000, 0.000, 0.000)
Tb (0.000, 0.500, 0.000)
Tb (0.000, 0.000, 0.500)
Tb (0.500, 0.000, 0.000)
Nd (0.500, 0.500, 0.500)



[3]
First-principles (GGA-PBE) data for TbNd4S6 after structural relaxation, as listed in Alexandria via LeMat-Bulk.

## Properties
- Density of states at the Fermi level: 5.030 states/eV/cell
- Crystal system: orthorhombic
- ΔE_f (raw): -2018 meV per atom

Unit cell a=3.935 b=6.981 c=20.410 alpha=90.00 beta=90.00 gamma=106.37
Element x y z (fractional)
Nd (0.590, 0.180, 0.630)
Nd (0.590, 0.180, 0.870)
Nd (0.140, 0.280, 0.041)
Nd (0.860, 0.720, 0.959)
Nd (0.140, 0.280, 0.459)
Nd (0.410, 0.820, 0.370)
Nd (0.860, 0.720, 0.541)
Nd (0.410, 0.820, 0.130)
S (0.771, 0.542, 0.409)
S (0.500, 0.000, 0.000)
S (0.299, 0.598, 0.250)
S (0.055, 0.110, 0.170)
S (0.229, 0.458, 0.591)
S (0.771, 0.542, 0.091)
S (0.229, 0.458, 0.909)
S (0.945, 0.890, 0.670)
S (0.500, 0.000, 0.500)
S (0.945, 0.890, 0.830)
S (0.701, 0.402, 0.750)
S (0.055, 0.110, 0.330)
Tb (0.347, 0.695, 0.750)
Tb (0.653, 0.305, 0.250)



[4]
First-principles (GGA-PBE) data for Tb5Nd3S8 after structural relaxation, as listed in Alexandria via LeMat-Bulk.

## Properties
- Density of states at the Fermi level: 8.295 states/eV/cell
- Crystal system: trigonal
- ΔE_f (raw): -2011 meV per atom

Unit cell a=7.947 b=7.947 c=7.984 alpha=60.15 beta=60.15 gamma=60.00
Element x y z (fractional)
S (0.250, 0.250, 0.759)
S (0.750, 0.750, 0.241)
S (0.745, 0.745, 0.764)
S (0.259, 0.750, 0.241)
S (0.255, 0.255, 0.236)
S (0.741, 0.250, 0.759)
S (0.250, 0.741, 0.759)
S (0.750, 0.259, 0.241)
Tb (0.500, 0.500, 0.500)
Tb (0.500, 0.000, 0.000)
Tb (0.000, 0.000, 0.000)
Tb (0.000, 0.500, 0.000)
Tb (0.500, 0.500, 0.000)
Nd (0.000, 0.500, 0.500)
Nd (0.500, 0.000, 0.500)
Nd (0.000, 0.000, 0.500)



[5]
First-principles (GGA-PBE) data for Tb5NdS6 after structural relaxation, as listed in Alexandria via LeMat-Bulk.

## Properties
- Density of states at the Fermi level: 4.237 states/eV/cell
- Crystal system: monoclinic
- ΔE_f (raw): -2014 meV per atom

Unit cell a=6.835 b=6.843 c=6.854 alpha=60.05 beta=80.33 gamma=70.34
Element x y z (fractional)
S (0.255, 0.915, 0.659)
S (0.252, 0.257, 0.000)
S (0.255, 0.574, 0.341)
S (0.748, 0.743, 0.000)
S (0.745, 0.426, 0.659)
S (0.745, 0.085, 0.341)
Tb (0.000, 0.334, 0.331)
Tb (0.500, 0.500, 0.000)
Tb (0.500, 0.163, 0.674)
Tb (0.500, 0.837, 0.326)
Tb (0.000, 0.666, 0.669)
Nd (0.000, 0.000, 0.000)



[6]
First-principles (GGA-PBE) data for TbNdS3 after structural relaxation, as listed in Alexandria via LeMat-Bulk.

## Properties
- Distance to the lowest polymorph of the same formula: 31 meV per atom
- Crystal system: monoclinic
- ΔE_f (raw): -2052 meV per atom

Unit cell a=3.978 b=7.902 c=7.878 alpha=94.34 beta=90.00 gamma=90.00
Element x y z (fractional)
S (0.250, 0.375, 0.614)
S (0.250, 0.680, 0.022)
S (0.750, 0.625, 0.386)
S (0.250, 0.901, 0.679)
S (0.750, 0.320, 0.978)
S (0.750, 0.099, 0.321)
Tb (0.750, 0.147, 0.679)
Tb (0.250, 0.853, 0.321)
Nd (0.250, 0.378, 0.230)
Nd (0.750, 0.622, 0.770)



[7]
First-principles (GGA-PBE) data for Tb2NdS3 after structural relaxation, as listed in Alexandria via LeMat-Bulk.

## Properties
- Density of states at the Fermi level: 2.492 states/eV/cell
- Crystal system: orthorhombic
- ΔE_f (raw): -2010 meV per atom

Unit cell a=3.975 b=5.624 c=6.887 alpha=114.10 beta=106.77 gamma=90.00
Element x y z (fractional)
Tb (0.837, 0.337, 0.675)
Tb (0.163, 0.663, 0.325)
Nd (0.500, 0.000, 0.000)
S (0.500, 0.500, 0.000)
S (0.175, 0.175, 0.349)
S (0.825, 0.825, 0.651)



[8]
First-principles (GGA-PBE) data for Tb4NdS4 after structural relaxation, as listed in Alexandria via LeMat-Bulk.

## Properties
- Density of states at the Fermi level: 5.035 states/eV/cell
- Crystal system: monoclinic
- ΔE_f (raw): -1775 meV per atom

Unit cell a=3.934 b=6.841 c=8.740 alpha=74.83 beta=76.99 gamma=73.29
Element x y z (fractional)
Tb (0.099, 0.198, 0.605)
Tb (0.901, 0.802, 0.395)
Tb (0.705, 0.389, 0.201)
Tb (0.295, 0.611, 0.799)
S (0.894, 0.316, 0.896)
S (0.106, 0.684, 0.104)
S (0.297, 0.097, 0.309)
S (0.703, 0.903, 0.691)
Nd (0.500, 0.000, 0.000)



[9]
First-principles (GGA-PBE) data for TbNdS3 after structural relaxation, as listed in Alexandria via LeMat-Bulk.

## Properties
- Distance to the lowest polymorph of the same formula: 0 meV per atom
- Crystal system: orthorhombic
- ΔE_f (raw): -2083 meV per atom

Unit cell a=4.003 b=7.418 c=15.443 alpha=90.00 beta=90.00 gamma=90.00
Element x y z (fractional)
Tb (0.250, 0.768, 0.543)
Tb (0.750, 0.732, 0.043)
Tb (0.750, 0.232, 0.457)
Tb (0.250, 0.268, 0.957)
Nd (0.750, 0.356, 0.702)
Nd (0.250, 0.644, 0.298)
Nd (0.250, 0.144, 0.202)
Nd (0.750, 0.856, 0.798)
S (0.250, 0.148, 0.784)
S (0.750, 0.625, 0.437)
S (0.750, 0.489, 0.894)
S (0.250, 0.648, 0.716)
S (0.750, 0.989, 0.606)
S (0.250, 0.511, 0.106)
S (0.750, 0.852, 0.216)
S (0.250, 0.875, 0.937)
S (0.250, 0.375, 0.563)
S (0.250, 0.011, 0.394)
S (0.750, 0.352, 0.284)
S (0.750, 0.125, 0.063)



[10]
First-principles (GGA-PBE) data for TbNd4S7 after structural relaxation, as listed in Alexandria via LeMat-Bulk.

## Properties
- Density of states at the Fermi level: 1.320 states/eV/cell
- Crystal system: monoclinic
- ΔE_f (raw): -2060 meV per atom

Unit cell a=3.938 b=6.936 c=11.892 alpha=104.44 beta=90.00 gamma=106.49
Element x y z (fractional)
Nd (0.111, 0.223, 0.424)
Nd (0.699, 0.398, 0.808)
Nd (0.301, 0.602, 0.192)
Nd (0.999, 0.999, 0.998)
S (0.958, 0.917, 0.215)
S (0.742, 0.485, 0.356)
S (0.496, 0.991, 0.503)
S (0.660, 0.320, 0.051)
S (0.266, 0.532, 0.647)
S (0.040, 0.080, 0.780)
S (0.339, 0.678, 0.948)
Tb (0.888, 0.776, 0.578)



[11]
First-principles (GGA-PBE) data for TbNd2S after structural relaxation, as listed in Alexandria via LeMat-Bulk.

## Properties
- Density of states at the Fermi level: 5.119 states/eV/cell
- Crystal system: trigonal
- ΔE_f (raw): -872 meV per atom

Unit cell a=3.837 b=3.837 c=9.853 alpha=78.77 beta=78.77 gamma=60.00
Element x y z (fractional)
Tb (0.500, 0.500, 0.500)
Nd (0.271, 0.271, 0.186)
Nd (0.729, 0.729, 0.814)
S (0.000, 0.000, 0.000)



[12]
First-principles (GGA-PBE) data for TbNdS2 after structural relaxation, as listed in Alexandria via LeMat-Bulk.

## Properties
- Density of states at the Fermi level: 2.437 states/eV/cell
- Distance to the lowest polymorph of the same formula: 130 meV per atom
- Crystal system: trigonal
- ΔE_f (raw): -1892 meV per atom

Unit cell a=3.846 b=3.846 c=7.234 alpha=90.00 beta=90.00 gamma=120.00
Element x y z (fractional)
Tb (0.000, 0.500, 0.000)
S (0.333, 0.167, 0.236)
S (0.667, 0.833, 0.764)
Nd (0.000, 0.500, 0.500)



[13]
First-principles (GGA-PBE) data for TbNd6S8 after structural relaxation, as listed in Alexandria via LeMat-Bulk.

## Properties
- Density of states at the Fermi level: 6.985 states/eV/cell
- Distance to the lowest polymorph of the same formula: 0 meV per atom
- Crystal system: cubic
- ΔE_f (raw): -2052 meV per atom

Unit cell a=8.109 b=8.109 c=8.109 alpha=60.00 beta=60.00 gamma=60.00
Element x y z (fractional)
S (0.750, 0.750, 0.750)
S (0.756, 0.756, 0.244)
S (0.756, 0.244, 0.244)
S (0.244, 0.756, 0.756)
S (0.244, 0.244, 0.756)
S (0.756, 0.244, 0.756)
S (0.244, 0.756, 0.244)
S (0.250, 0.250, 0.250)
Nd (0.500, 0.500, 0.000)
Nd (0.500, 0.000, 0.000)
Nd (0.500, 0.000, 0.500)
Nd (0.000, 0.000, 0.500)
Nd (0.000, 0.500, 0.500)
Nd (0.000, 0.500, 0.000)
Tb (0.000, 0.000, 0.000)



[14]
First-principles (GGA-PBE) data for TbNd6S8 after structural relaxation, as listed in Alexandria via LeMat-Bulk.

## Properties
- Density of states at the Fermi level: 8.075 states/eV/cell
- Distance to the lowest polymorph of the same formula: 410 meV per atom
- Crystal system: trigonal
- ΔE_f (raw): -1642 meV per atom

Unit cell a=8.120 b=8.120 c=8.120 alpha=98.28 beta=98.28 gamma=98.28
Element x y z (fractional)
S (0.655, 0.419, 0.156)
S (0.844, 0.345, 0.581)
S (0.221, 0.221, 0.221)
S (0.156, 0.655, 0.419)
S (0.581, 0.844, 0.345)
S (0.345, 0.581, 0.844)
S (0.419, 0.156, 0.655)
S (0.779, 0.779, 0.779)
Nd (0.445, 0.820, 0.646)
Nd (0.354, 0.555, 0.180)
Nd (0.180, 0.354, 0.555)
Nd (0.820, 0.646, 0.445)
Nd (0.555, 0.180, 0.354)
Nd (0.646, 0.445, 0.820)
Tb (0.000, 0.000, 0.000)



[15]
First-principles (GGA-PBE) data for TbNdS2 after structural relaxation, as listed in Alexandria via LeMat-Bulk.

## Properties
- Density of states at the Fermi level: 0.943 states/eV/cell
- Distance to the lowest polymorph of the same formula: 61 meV per atom
- Crystal system: trigonal
- ΔE_f (raw): -1962 meV per atom

Unit cell a=3.903 b=3.903 c=7.316 alpha=74.53 beta=74.53 gamma=60.00
Element x y z (fractional)
Tb (0.494, 0.494, 0.517)
Nd (0.672, 0.672, 0.983)
S (0.247, 0.247, 0.258)
S (0.086, 0.086, 0.743)



[16]
First-principles (GGA-PBE) data for TbNdS after structural relaxation, as listed in Alexandria via LeMat-Bulk.

## Properties
- Density of states at the Fermi level: 1.073 states/eV/cell
- Distance to the lowest polymorph of the same formula: 0 meV per atom
- Crystal system: trigonal
- ΔE_f (raw): -1257 meV per atom

Unit cell a=3.870 b=3.870 c=6.494 alpha=90.00 beta=90.00 gamma=120.00
Each line ends with the local moment (μB).
Element x y z (fractional)
S (0.333, 0.667, 0.658)  0.00
Nd (0.000, 0.000, 0.931)  0.13
Tb (0.667, 0.333, 0.411)  -0.18



[17]
First-principles (GGA-PBE) data for TbNdS after structural relaxation, as listed in Alexandria via LeMat-Bulk.

## Properties
- Density of states at the Fermi level: 4.338 states/eV/cell
- Distance to the lowest polymorph of the same formula: 62 meV per atom
- Crystal system: trigonal
- ΔE_f (raw): -1196 meV per atom

Unit cell a=3.885 b=3.885 c=13.316 alpha=81.61 beta=81.61 gamma=60.00
Element x y z (fractional)
S (0.415, 0.415, 0.756)
S (0.585, 0.585, 0.244)
Nd (0.208, 0.208, 0.377)
Nd (0.792, 0.792, 0.623)
Tb (0.957, 0.957, 0.130)
Tb (0.043, 0.043, 0.870)



[18]
First-principles (GGA-PBE) data for TbNdS2 after structural relaxation, as listed in Alexandria via LeMat-Bulk.

## Properties
- Density of states at the Fermi level: 1.520 states/eV/cell
- Distance to the lowest polymorph of the same formula: 0 meV per atom
- Crystal system: trigonal
- ΔE_f (raw): -2022 meV per atom

Unit cell a=3.986 b=3.986 c=6.963 alpha=73.37 beta=73.37 gamma=60.00
Element x y z (fractional)
Tb (0.000, 0.000, 0.000)
S (0.255, 0.255, 0.236)
S (0.745, 0.745, 0.764)
Nd (0.500, 0.500, 0.500)



[19]
First-principles (GGA-PBE) data for TbNd3Th4S8 after structural relaxation, as listed in Alexandria via LeMat-Bulk.

## Properties
- Density of states at the Fermi level: 5.728 states/eV/cell
- Crystal system: trigonal
- ΔE_f (raw): -1923 meV per atom

Unit cell a=8.000 b=8.145 c=7.998 alpha=119.39 beta=120.01 gamma=90.00
Element x y z (fractional)
S (0.246, 0.255, 0.000)
S (0.750, 0.749, 0.499)
S (0.246, 0.745, 0.491)
S (0.754, 0.255, 0.000)
S (0.250, 0.251, 0.501)
S (0.246, 0.745, 0.000)
S (0.754, 0.255, 0.509)
S (0.754, 0.745, 0.000)
Th (0.500, 0.000, 0.000)
Th (0.500, 0.000, 0.500)
Th (0.000, 0.000, 0.000)
Th (0.000, 0.000, 0.500)
Nd (0.500, 0.500, 0.500)
Nd (0.000, 0.500, 0.500)
Nd (0.500, 0.500, 0.000)
Tb (0.000, 0.500, 0.000)



[20]
First-principles (GGA-PBE) data for TbNd2ThS4 after structural relaxation, as listed in Alexandria via LeMat-Bulk.

## Properties
- Density of states at the Fermi level: 3.474 states/eV/cell
- Crystal system: monoclinic
- ΔE_f (raw): -1967 meV per atom

Unit cell a=4.006 b=7.003 c=6.978 alpha=109.24 beta=90.00 gamma=90.00
Element x y z (fractional)
S (0.000, 0.754, 0.245)
S (0.000, 0.246, 0.755)
S (0.500, 0.242, 0.240)
S (0.500, 0.758, 0.760)
Nd (0.000, 0.500, 0.500)
Nd (0.500, 0.000, 0.500)
Tb (0.000, 0.000, 0.000)
Th (0.500, 0.500, 0.000)



| no. | magnetic moment (μB/f.u.) |
| --- | --- |
| 1 | 0.0 |
| 2 | 0.0 |
| 3 | 0.0 |
| 4 | 0.0 |
| 5 | 0.0 |
| 6 | 0.0 |
| 7 | 0.0 |
| 8 | 0.0 |
| 9 | 0.0 |
| 10 | 0.0 |
| 11 | 0.0 |
| 12 | 0.0 |
| 13 | 0.0 |
| 14 | 0.0 |
| 15 | 0.0 |
| 16 | 0.0 |
| 17 | 0.0 |
| 18 | 0.0 |
| 19 | 0.0 |
| 20 | 0.0 |